First-principles (PBE) data for Ho6Tl4Pb7 after structural relaxation, as listed in Alexandria.

Properties
As for the total energy: -3.820 eV per atom. The calculation puts the theoretical density at 10.67 Mg/m³. As for the crystal system: cubic. Its density of states at the Fermi level is 0.9278 states/eV per atom. Its formation energy is -0.121 eV/atom. The calculation puts the calculated volume at 29.8 Å³/atom. Its total moment is 0.000 μB/f.u.

```
Ho6Tl4Pb7
1.0
-5.023 5.023 5.023
5.023 -5.023 5.023
5.023 5.023 -5.023
Ho Tl Pb
6 4 7
Direct
0.000 0.292 0.292
0.000 0.708 0.708
0.292 0.000 0.292
0.292 0.292 0.000
0.708 0.000 0.708
0.708 0.708 0.000
0.000 0.000 0.500
0.000 0.500 0.000
0.500 0.000 0.000
0.500 0.500 0.500
0.000 0.000 0.000
0.250 0.500 0.750
0.250 0.750 0.500
0.500 0.250 0.750
0.500 0.750 0.250
0.750 0.250 0.500
0.750 0.500 0.250
```

=====

First-principles (PBE) data for HoTlPb2 after structural relaxation, as listed in Alexandria.

Properties
As for the total energy: -3.798 eV per atom. The calculation puts the theoretical density at 11.23 Mg/m³. As for the crystal system: orthorhombic. Its density of states at the Fermi level is 0.6285 states/eV per atom. Its formation energy is -0.208 eV/atom. The calculation puts the calculated volume at 29.0 Å³/atom. Its total moment is 0.000 μB/f.u.

```
HoTlPb2
1.0
3.466 -4.711 0.000
3.466 4.711 0.000
0.000 0.000 3.549
Ho Tl Pb
1 1 2
Direct
0.000 0.000 0.000
0.500 0.500 0.000
0.000 0.500 0.500
0.500 0.000 0.500
```

=====

First-principles (PBE) data for HoTlPb after structural relaxation, as listed in Alexandria.

Properties
As for the total energy: -3.733 eV per atom. The calculation puts the theoretical density at 11.11 Mg/m³. As for the crystal system: trigonal. Its density of states at the Fermi level is 0.5669 states/eV per atom. Its formation energy is -0.182 eV/atom. The calculation puts the calculated volume at 28.7 Å³/atom. The calculation puts the relative energy among the computed polymorphs at 107 meV per atom. Its total moment is 0.000 μB/f.u.

```
HoTlPb
1.0
5.235 0.000 0.000
-2.618 4.534 0.000
0.000 0.000 3.630
Ho Tl Pb
1 1 1
Direct
0.000 0.000 0.000
0.333 0.667 0.685
0.667 0.333 0.373
```

=====

Question: Look up the total moment of the first one.
Answer: 0.000 μB/f.u.

=====

Repeat the second record exactly.
First-principles (PBE) data for HoTlPb2 after structural relaxation, as listed in Alexandria.

Properties
As for the total energy: -3.798 eV per atom. The calculation puts the theoretical density at 11.23 Mg/m³. As for the crystal system: orthorhombic. Its density of states at the Fermi level is 0.6285 states/eV per atom. Its formation energy is -0.208 eV/atom. The calculation puts the calculated volume at 29.0 Å³/atom. Its total moment is 0.000 μB/f.u.

```
HoTlPb2
1.0
3.466 -4.711 0.000
3.466 4.711 0.000
0.000 0.000 3.549
Ho Tl Pb
1 1 2
Direct
0.000 0.000 0.000
0.500 0.500 0.000
0.000 0.500 0.500
0.500 0.000 0.500
```